# MnAlIrAu

Crystalline MnAlIrAu at its relaxed geometry (GGA-PBE, the Alexandria database).

a b c (Å): 4.405 4.405 4.405
angles (deg): 60.00 60.00 60.00
Each line ends with the local moment (μB).
Fractional coordinates of all 4 atoms:
Ir1 0.500 0.500 0.500  0.20
Mn1 0.250 0.250 0.250  3.62
Al1 0.750 0.750 0.750  -0.01
Au1 0.000 0.000 0.000  0.04

Calculated values
* raw total energy: -6.568 eV/atom
* space group: F-43m (216)
* total moment: 3.98 μB/f.u.
* energy relative to the elements: -0.31 eV/atom